This record from Alexandria via LeMat-Bulk describes SiAgBi2 after structural relaxation. The functional is GGA-PBEsol.

The structure belongs to space group I-42d (No. 122); the cell edges are 6.4826, 6.4826 and 11.8838 Å and the angles 90.00°, 90.00° and 90.00°. The asymmetric unit holds Si at (0.0000, 0.0000, 0.0000), Ag at (0.0000, 0.0000, 0.5000) and Bi at (0.2419, 0.2500, 0.1250).

The value obtained for the total energy is -4.05 eV per atom. For the density, the calculation gives 7.367 g/cm³. For the uncorrected formation energy, the calculation gives 0.36 eV per atom.

This record from Alexandria via LeMat-Bulk describes SiAgBi3 after structural relaxation. The functional is GGA-PBEsol.

The structure belongs to space group Pm-3m (No. 221); the cell edges are 5.3296, 5.3296 and 5.3296 Å and the angles 90.00°, 90.00° and 90.00°. The asymmetric unit holds Si at (0.0000, 0.0000, 0.0000), Ag at (0.5000, 0.5000, 0.5000) and Bi at (0.0000, 0.0000, 0.5000).

The value obtained for the total energy is -3.61 eV per atom. For the density, the calculation gives 8.368 g/cm³. For the uncorrected formation energy, the calculation gives 0.77 eV per atom.

This record from Alexandria via LeMat-Bulk describes Ag2SnBi2 after structural relaxation. The functional is GGA-PBEsol.

The structure belongs to space group I4/mmm (No. 139); the cell edges are 4.4901, 4.4901 and 13.0370 Å and the angles 90.00°, 90.00° and 90.00°. The asymmetric unit holds Ag at (0.0000, 0.0000, 0.0996), Sn at (0.0000, 0.0000, 0.5000) and Bi at (0.0000, 0.5000, 0.2500).

The value obtained for the total energy is -3.64 eV per atom. For the density, the calculation gives 9.507 g/cm³. The calculation puts the formation energy from the elements at 120.6 kJ/mol of formula units.

This record from Alexandria via LeMat-Bulk describes SrAgBi2 after structural relaxation. The functional is GGA-PBEsol.

The structure belongs to space group Fm-3m (No. 225); the cell edges are 7.6545, 7.6545 and 7.6545 Å and the angles 90.00°, 90.00° and 90.00°. The asymmetric unit holds Sr at (0.0000, 0.0000, 0.0000), Ag at (0.0000, 0.0000, 0.5000) and Bi at (0.2500, 0.2500, 0.2500).

The value obtained for the total energy is -3.65 eV per atom. For the density, the calculation gives 9.085 g/cm³. The calculation puts the formation energy from the elements at -84.3 kJ/mol of formula units.

This record from Alexandria via LeMat-Bulk describes SrAg2Bi2 after structural relaxation. The functional is GGA-PBEsol.

The structure belongs to space group I4/mmm (No. 139); the cell edges are 4.5680, 4.5680 and 13.2066 Å and the angles 90.00°, 90.00° and 90.00°. The asymmetric unit holds Sr at (0.0000, 0.0000, 0.0000), Ag at (0.0000, 0.5000, 0.2500) and Bi at (0.0000, 0.0000, 0.3815).

The value obtained for the total energy is -3.69 eV per atom. For the density, the calculation gives 8.693 g/cm³. The calculation puts the formation energy from the elements at -139.1 kJ/mol of formula units.

This record from Alexandria via LeMat-Bulk describes SrZr2AgBi after structural relaxation. The functional is GGA-PBEsol.

The structure belongs to space group P4/mmm (No. 123); the cell edges are 5.5087, 5.5087 and 5.2976 Å and the angles 90.00°, 90.00° and 90.00°. The asymmetric unit holds Sr at (0.0000, 0.0000, 0.0000), Zr at (0.0000, 0.5000, 0.5000), Ag at (0.5000, 0.5000, 0.0000) and Bi at (0.5000, 0.5000, 0.5000).

The value obtained for the total energy is -4.80 eV per atom. For the density, the calculation gives 6.062 g/cm³. The calculation puts the formation energy from the elements at 348.7 kJ/mol of formula units.